Record 1
Compound: SrS2O
Source: Alexandria via LeMat-Bulk
Functional: PBEsol
Structure: relaxed

```
4
Lattice="4.666 0.000 0.000 2.333 4.041 0.000 2.333 1.347 5.854" Properties=species:S:1:pos:R:3 pbc="T T T"
Sr 4.666 2.694 2.927
S 6.999 4.041 1.656
S 2.333 1.347 4.198
O 0.000 0.000 0.000
```

* space group: R-3m (166)
* uncorrected formation energy: -0.642 eV/atom


Record 2
Compound: CrPt2
Source: Alexandria via LeMat-Bulk
Functional: PBEsol
Structure: relaxed

```
6
Lattice="-0.772 4.215 0.620 -2.078 1.212 4.288 3.615 2.575 2.116" Properties=species:S:1:pos:R:3 pbc="T T T"
Cr -0.193 1.054 0.155
Cr -0.579 3.161 0.465
Pt -0.452 1.751 2.651
Pt -0.134 3.728 4.726
Pt 0.899 4.274 2.298
Pt 1.218 6.251 4.373
```

* space group: I4/mcm (140)


Record 3
Compound: CaTcOs2Pd
Source: Alexandria via LeMat-Bulk
Functional: PBEsol
Structure: relaxed

```
5
Lattice="-1.550 -0.412 -4.275 -1.501 -4.207 0.950 -4.442 1.906 1.426" Properties=species:S:1:pos:R:3 pbc="T T T"
Ca -2.221 0.953 0.713
Os -0.750 -2.103 0.475
Os -0.775 -0.206 -2.138
Tc 0.000 0.000 0.000
Pd -3.746 -1.357 -0.950
```

* space group: P4/mmm (123)


Record 4
Compound: V2SO8
Source: Alexandria via LeMat-Bulk
Functional: PBEsol
Structure: relaxed

```
44
Lattice="-5.699 0.640 -0.088 -0.458 -2.824 9.149 1.341 12.478 3.919" Properties=species:S:1:pos:R:3 pbc="T T T"
V -3.788 4.824 9.876
V -3.232 9.996 11.501
V -4.530 0.031 3.338
V -3.974 5.203 4.962
V -0.843 5.091 8.017
V -0.287 10.264 9.642
V -1.585 0.298 1.479
V -1.029 5.470 3.103
S -0.087 3.082 1.242
S -1.678 8.138 7.744
S -3.139 2.156 5.235
S -4.729 7.212 11.737
O -0.253 -0.288 2.420
O 0.331 5.150 4.128
O 0.941 9.043 3.966
O -3.838 6.037 11.206
O -3.597 8.281 11.911
O -4.528 -1.660 8.940
O -3.985 3.389 10.525
O -2.676 7.928 8.755
O -4.890 3.300 2.194
O -3.334 11.067 7.906
O -3.876 6.019 6.321
O -4.252 1.207 4.672
O -4.011 3.451 5.377
O -2.781 1.709 6.537
O -2.299 4.818 8.915
O -1.714 10.256 10.623
O -3.102 0.038 2.356
O -2.518 5.476 4.064
O -2.035 8.585 6.443
O -0.806 6.843 7.602
O -0.564 9.087 8.307
O -1.483 -0.773 5.073
O -0.940 4.276 6.659
O 0.074 6.994 10.786
O -2.140 2.366 4.225
O -0.831 6.906 2.454
O -0.288 11.954 4.040
O -1.220 2.013 1.069
O -0.979 4.257 1.774
O -5.757 1.251 9.014
O -5.147 5.144 8.852
O -4.563 10.582 10.560
```

* space group: Pnma (62)
* uncorrected formation energy: -1.841 eV/atom


Record 5
Compound: SrY2Si
Source: Alexandria via LeMat-Bulk
Functional: PBEsol
Structure: relaxed

```
4
Lattice="-4.451 -1.424 -0.221 0.839 -3.144 3.361 0.606 5.518 1.755" Properties=species:S:1:pos:R:3 pbc="T T T"
Si -1.806 -2.284 1.570
Sr 0.000 0.000 0.000
Y -2.825 0.905 1.552
Y -0.180 0.045 3.343
```

* space group: I4/mmm (139)
* uncorrected formation energy: -0.019 eV/atom


Record 6
Compound: CaScMn2
Source: Alexandria via LeMat-Bulk
Functional: PBEsol
Structure: relaxed

```
4
Lattice="3.114 0.000 0.000 1.557 2.697 0.000 1.557 0.899 9.330" Properties=species:S:1:pos:R:3 pbc="T T T"
Sc 3.114 1.798 4.665
Ca 0.000 0.000 0.000
Mn 1.557 0.899 2.505
Mn 4.671 2.697 6.825
```

* space group: R-3m (166)


Record 7
Compound: LiSiNi
Source: Alexandria via LeMat-Bulk
Functional: PBEsol
Structure: relaxed

```
3
Lattice="-1.417 -1.755 -3.093 -2.089 -3.184 0.394 -3.764 0.083 -0.691" Properties=species:S:1:pos:R:3 pbc="T T T"
Ni -3.635 -2.428 -1.695
Si -5.452 -3.642 -2.543
Li 0.000 0.000 0.000
```

* space group: F-43m (216)
* uncorrected formation energy: -0.095 eV/atom


Record 8
Compound: MnCdNi4
Source: Alexandria via LeMat-Bulk
Functional: PBEsol
Structure: relaxed

```
6
Lattice="4.705 0.000 0.000 2.352 4.074 0.000 2.352 1.358 3.841" Properties=species:S:1:pos:R:3 pbc="T T T"
Cd 7.057 4.074 2.881
Mn 0.000 0.000 0.000
Ni 3.527 2.036 1.440
Ni 4.705 2.716 3.363
Ni 5.882 2.036 1.440
Ni 4.705 4.076 1.440
```

* space group: F-43m (216)


N(E_F)
In order: 0.47; 7.55; 7.42; 0.00; 4.19; 4.75; 1.57; 6.47
Unit: states/eV per cell
Uncorrected energy
In order: -18.427; -48.057; -35.474; -343.596; -21.309; -25.543; -14.157; -35.401
Unit: eV/cell
Magnetic moment
In order: 0.00; 0.00; 0.07; 0.00; 0.00; 1.50; 0.00; 0.82
Unit: μB per atom